1.
A relaxed CuAu5 crystal. Source: Alexandria via LeMat-Bulk, functional GGA-PBEsol.

abc: 2.8524 5.5029 6.7135
angles: 106.92 90.00 105.02
Fractional positions:
1 Au 0.0215 0.0431 0.0137
2 Au 0.3751 0.7502 0.2372
3 Au 0.6793 0.3586 0.3546
4 Au 0.0455 0.0910 0.6007
5 Au 0.3344 0.6687 0.7027
6 Cu 0.7108 0.4217 0.9245

ΔE to the lowest computed polymorph ... 23 meV/atom
Space group ... Cm (8)
Formation energy ... 0.4 kJ/mol of atoms
Spin magnetization ... 0.0 μB/f.u.

---

2.
A relaxed Cu3Au crystal. Source: Alexandria via LeMat-Bulk, functional GGA-PBEsol.

abc: 2.6883 4.4669 5.0195
angles: 116.42 105.53 90.00
Fractional positions:
1 Au 0.0000 0.9860 0.0000
2 Cu 0.7565 0.1022 0.5131
3 Cu 0.5000 0.4892 0.0000
4 Cu 0.2435 0.5892 0.4869

Space group ... Imm2 (44)
Formation energy ... 1.0 kJ/mol of atoms
Spin magnetization ... 0.0 μB/f.u.

---

3.
A relaxed CuAu5 crystal. Source: Alexandria via LeMat-Bulk, functional GGA-PBEsol.

abc: 4.7080 4.8821 4.8821
angles: 120.00 90.00 90.00
Fractional positions:
1 Au 0.0000 0.6727 0.0000
2 Au 0.0000 0.0000 0.6727
3 Au 0.0000 0.3273 0.3273
4 Au 0.5000 0.3333 0.6667
5 Au 0.5000 0.6667 0.3333
6 Cu 0.5000 0.0000 0.0000

ΔE to the lowest computed polymorph ... 27 meV/atom
Space group ... P-62m (189)
Formation energy ... 0.7 kJ/mol of atoms
Spin magnetization ... 0.0 μB/f.u.

---

4.
A relaxed Cu7Au crystal. Source: Alexandria via LeMat-Bulk, functional GGA-PBEsol.

abc: 5.1529 5.1529 5.1529
angles: 60.00 60.00 60.00
Fractional positions:
1 Au 0.0000 0.0000 0.0000
2 Cu 0.5000 0.0000 0.0000
3 Cu 0.5000 0.5000 0.0000
4 Cu 0.0000 0.5000 0.0000
5 Cu 0.5000 0.0000 0.5000
6 Cu 0.0000 0.0000 0.5000
7 Cu 0.0000 0.5000 0.5000
8 Cu 0.5000 0.5000 0.5000

Space group ... Fm-3m (225)
Formation energy ... 0.1 kJ/mol of atoms
Spin magnetization ... 0.0 μB/f.u.